(1)
A relaxed BaTlNi2 crystal, computed with GGA-PBE.

a b c (Å): 4.9613 4.9613 3.5325
angles (deg): 90.00 90.00 89.94
Fractional coordinates of all 4 atoms:
Ba (0.0000, 0.5000, 0.5000)
Ni (0.0000, 0.0000, 0.0000)
Ni (0.5000, 0.5000, 0.0000)
Tl (0.5000, 0.0000, 0.5000)

Calculated values
* space-group type: Cmmm, No. 65
* N(E_F): 2.92 states/eV/cell
* energy of formation from the pure elements: 0.400 eV per atom

(2)
A relaxed Th4Si crystal, computed with GGA-PBE.

a b c (Å): 5.5682 5.5682 5.5682
angles (deg): 90.00 90.00 90.00
Fractional coordinates of all 5 atoms:
Si (0.5000, 0.5000, 0.5000)
Th (0.0000, 0.0000, 0.0000)
Th (0.5000, 0.0000, 0.5000)
Th (0.0000, 0.5000, 0.5000)
Th (0.5000, 0.5000, 0.0000)

Calculated values
* space-group type: Pm-3m, No. 221
* N(E_F): 8.01 states/eV/cell
* formation energy from raw total energies: 0.8 eV per formula unit

(3)
A relaxed YMg5 crystal, computed with GGA-PBE.

a b c (Å): 6.4004 6.4004 6.4004
angles (deg): 52.01 52.01 52.01
Fractional coordinates of all 6 atoms:
Y (0.5000, 0.5000, 0.5000)
Mg (0.0000, 0.6628, 0.3372)
Mg (0.1626, 0.1626, 0.1626)
Mg (0.3372, 0.0000, 0.6628)
Mg (0.6628, 0.3372, 0.0000)
Mg (0.8374, 0.8374, 0.8374)

Calculated values
* space-group type: R32, No. 155
* N(E_F): 3.94 states/eV/cell
* energy of formation from the pure elements: 0.009 eV per atom

(4)
A relaxed FeTcSbI2 crystal, computed with GGA-PBE.

a b c (Å): 5.5397 5.5397 5.1056
angles (deg): 90.00 90.00 90.00
Fractional coordinates of all 5 atoms:
I (0.0000, 0.5000, 0.0000)
I (0.5000, 0.0000, 0.0000)
Sb (0.0000, 0.0000, 0.5000)
Tc (0.0000, 0.0000, 0.0000)
Fe (0.5000, 0.5000, 0.5000)

Calculated values
* space-group type: P4/mmm, No. 123
* N(E_F): 9.37 states/eV/cell
* distance to the lowest polymorph of the same formula: 0 meV/atom
* formation energy from raw total energies: 5.4 eV per formula unit

(5)
A relaxed LiPaCuO4 crystal, computed with GGA-PBE.

a b c (Å): 5.8180 6.5496 6.9254
angles (deg): 121.92 90.00 116.37
Fractional coordinates of all 14 atoms:
Li (0.8472, 0.6944, 0.0972)
Li (0.1528, 0.3056, 0.9028)
Pa (0.5000, 0.0000, 0.5000)
Pa (0.5000, 0.0000, 0.0000)
Cu (0.5000, 0.5000, 0.5000)
Cu (0.0000, 0.5000, 0.5000)
O (0.7286, 0.4572, 0.6742)
O (0.2410, 0.9352, 0.2176)
O (0.6942, 0.9352, 0.2176)
O (0.7286, 0.4572, 0.2829)
O (0.2714, 0.5428, 0.7171)
O (0.7590, 0.0648, 0.7824)
O (0.3058, 0.0648, 0.7824)
O (0.2714, 0.5428, 0.3258)

Calculated values
* space-group type: Imma, No. 74
* N(E_F): 0.12 states/eV/cell
* formation energy from raw total energies: -16.2 eV per formula unit

(6)
A relaxed U2NiTe5 crystal, computed with GGA-PBE.

a b c (Å): 5.6146 5.7219 15.5274
angles (deg): 90.00 90.00 119.38
Fractional coordinates of all 16 atoms:
U (0.7499, 0.4998, 0.4352)
U (0.7499, 0.4998, 0.0648)
U (0.2501, 0.5002, 0.5648)
U (0.2501, 0.5002, 0.9352)
Ni (0.7503, 0.5005, 0.7500)
Ni (0.2497, 0.4995, 0.2500)
Te (0.9124, 0.8249, 0.8948)
Te (0.9124, 0.8249, 0.6052)
Te (0.4122, 0.8244, 0.3947)
Te (0.4122, 0.8244, 0.1053)
Te (0.7493, 0.4987, 0.2500)
Te (0.2507, 0.5013, 0.7500)
Te (0.5878, 0.1756, 0.6053)
Te (0.5878, 0.1756, 0.8947)
Te (0.0876, 0.1751, 0.1052)
Te (0.0876, 0.1751, 0.3948)

Calculated values
* space-group type: Cmcm, No. 63
* N(E_F): 26.20 states/eV/cell
* formation energy from raw total energies: -2.7 eV per formula unit

(7)
A relaxed InReRh crystal, computed with GGA-PBE.

a b c (Å): 6.3237 6.3237 6.3237
angles (deg): 153.76 153.76 37.44
Fractional coordinates of all 3 atoms:
In (0.9985, 0.9985, 0.0000)
Re (0.6805, 0.6805, 0.0000)
Rh (0.3210, 0.3210, 0.0000)

Calculated values
* space-group type: I4mm, No. 107
* N(E_F): 3.02 states/eV/cell
* distance to the lowest polymorph of the same formula: 0 meV/atom
* energy of formation from the pure elements: 0.068 eV per atom

(8)
A relaxed SrTlPd crystal, computed with GGA-PBE.

a b c (Å): 4.9872 4.9872 4.9872
angles (deg): 60.00 60.00 60.00
Fractional coordinates of all 3 atoms:
Sr (0.5000, 0.5000, 0.5000)
Tl (0.0000, 0.0000, 0.0000)
Pd (0.2500, 0.2500, 0.2500)

Calculated values
* space-group type: F-43m, No. 216
* N(E_F): 1.70 states/eV/cell
* energy of formation from the pure elements: -0.417 eV per atom

(9)
A relaxed KAgH3 crystal, computed with GGA-PBE.

a b c (Å): 3.9192 3.9192 3.9192
angles (deg): 90.00 90.00 90.00
Fractional coordinates of all 5 atoms:
H (0.0000, 0.5000, 0.0000)
H (0.0000, 0.0000, 0.5000)
H (0.5000, 0.0000, 0.0000)
K (0.5000, 0.5000, 0.5000)
Ag (0.0000, 0.0000, 0.0000)

Calculated values
* space-group type: Pm-3m, No. 221
* N(E_F): 0.62 states/eV/cell
* distance to the lowest polymorph of the same formula: 0 meV/atom

(10)
A relaxed Nd2HoTm crystal, computed with GGA-PBE.

a b c (Å): 5.7652 7.2743 7.2743
angles (deg): 119.43 90.00 90.00
Fractional coordinates of all 8 atoms:
Nd (0.7500, 0.5842, 0.9151)
Nd (0.7500, 0.0849, 0.4158)
Nd (0.2500, 0.4158, 0.0849)
Nd (0.2500, 0.9151, 0.5842)
Ho (0.2500, 0.4175, 0.5825)
Ho (0.7500, 0.5825, 0.4175)
Tm (0.2500, 0.9173, 0.0827)
Tm (0.7500, 0.0827, 0.9173)

Calculated values
* space-group type: Cmcm, No. 63
* N(E_F): 14.07 states/eV/cell
* distance to the lowest polymorph of the same formula: 4 meV/atom
* energy of formation from the pure elements: 0.019 eV per atom

(11)
A relaxed Mg7Pd2Pt2 crystal, computed with GGA-PBE.

a b c (Å): 5.9580 6.5082 5.9580
angles (deg): 90.00 102.32 90.00
Fractional coordinates of all 11 atoms:
Mg (0.0000, 0.2752, 0.5000)
Mg (0.5000, 0.7248, 0.0000)
Mg (0.0000, 0.7248, 0.5000)
Mg (0.5000, 0.2752, 0.0000)
Mg (0.0000, 0.0000, 0.0000)
Mg (0.5000, 0.7289, 0.5000)
Mg (0.5000, 0.2711, 0.5000)
Pd (0.8142, 0.5000, 0.8142)
Pd (0.1858, 0.5000, 0.1858)
Pt (0.7144, 0.0000, 0.2856)
Pt (0.2856, 0.0000, 0.7144)

Calculated values
* space-group type: Cmmm, No. 65
* N(E_F): 3.10 states/eV/cell
* energy of formation from the pure elements: -0.434 eV per atom

(12)
A relaxed Ba6BiAs2I3 crystal, computed with GGA-PBE.

a b c (Å): 4.9538 10.1887 11.3215
angles (deg): 104.83 102.64 90.00
Fractional coordinates of all 12 atoms:
Ba (0.3371, 0.8826, 0.6742)
Ba (0.6778, 0.5580, 0.3555)
Ba (0.6629, 0.1174, 0.3258)
Ba (0.0137, 0.2413, 0.0275)
Ba (0.9863, 0.7587, 0.9725)
Ba (0.3222, 0.4420, 0.6445)
Bi (0.5000, 0.0000, 0.0000)
As (0.8315, 0.6624, 0.6630)
As (0.1685, 0.3376, 0.3370)
I (0.5000, 0.5000, 0.0000)
I (0.8344, 0.1679, 0.6688)
I (0.1656, 0.8321, 0.3312)

Calculated values
* space-group type: C2/m, No. 12
* formation energy from raw total energies: -17.0 eV per formula unit